Material: Sm3Ga
Method: DFT, PBE
State: optimized geometry Values from VASP.

As for the space group: Cmcm (63). The value obtained for the formation energy is -238 meV/atom. For the energy above the most stable polymorph in this dataset, the calculation gives 27.5 meV/atom.

Cell and atoms, written as Quantum ESPRESSO input:
```
&SYSTEM
  ibrav = 0, nat = 8, ntyp = 2
/
ATOMIC_SPECIES
Sm 150.36 Sm.upf
Ga 69.72 Ga.upf
CELL_PARAMETERS angstrom
4.2419 0.0000 0.0000
-2.1209 6.0568 0.0000
0.0000 0.0000 9.3215
ATOMIC_POSITIONS crystal
Sm 0.5600 0.1200 0.2500
Sm 0.8568 0.7137 0.4450
Sm 0.4400 0.8800 0.7500
Sm 0.1432 0.2863 0.9450
Sm 0.1432 0.2863 0.5550
Sm 0.8568 0.7137 0.0550
Ga 0.2445 0.4891 0.2500
Ga 0.7555 0.5109 0.7500
```

---

Material: CsK12Na6
Method: DFT, PBE
State: optimized geometry Values from VASP.

As for the space group: R-3 (148). The value obtained for the formation energy is 37 meV/atom. For the energy above the most stable polymorph in this dataset, the calculation gives 0.0 meV/atom.

Cell and atoms, written as Quantum ESPRESSO input:
```
&SYSTEM
  ibrav = 0, nat = 19, ntyp = 3
/
ATOMIC_SPECIES
K 39.10 K.upf
Na 22.99 Na.upf
Cs 132.91 Cs.upf
CELL_PARAMETERS angstrom
-1.4935 -2.6445 -10.1789
-9.8012 -3.6692 1.8187
-4.5187 9.3260 -2.3325
ATOMIC_POSITIONS crystal
K 0.8047 0.4218 0.5294
K 0.9702 0.6110 0.8385
K 0.0298 0.3890 0.1615
K 0.5294 0.8047 0.4218
K 0.5782 0.4706 0.1953
K 0.6110 0.8385 0.9702
K 0.8385 0.9702 0.6110
K 0.4706 0.1953 0.5782
K 0.1953 0.5782 0.4706
K 0.3890 0.1615 0.0298
K 0.1615 0.0298 0.3890
K 0.4218 0.5294 0.8047
Na 0.2616 0.7197 0.1131
Na 0.1131 0.2616 0.7197
Na 0.8869 0.7384 0.2803
Na 0.2803 0.8869 0.7384
Na 0.7384 0.2803 0.8869
Na 0.7197 0.1131 0.2616
Cs 0.0000 0.0000 0.0000
```

---

Material: MgV2P2
Method: DFT, PBE
State: optimized geometry Values from VASP.

As for the space group: P4/mbm (127). The value obtained for the formation energy is -556 meV/atom. For the energy above the most stable polymorph in this dataset, the calculation gives 0.0 meV/atom.

Cell and atoms, written as Quantum ESPRESSO input:
```
&SYSTEM
  ibrav = 0, nat = 10, ntyp = 3
/
ATOMIC_SPECIES
V 50.94 V.upf
P 30.97 P.upf
Mg 24.30 Mg.upf
CELL_PARAMETERS angstrom
6.6425 0.0000 0.0000
0.0000 6.6425 0.0000
0.0000 0.0000 3.0806
ATOMIC_POSITIONS crystal
V 0.6492 0.8508 0.5000
V 0.1492 0.6492 0.5000
V 0.3508 0.1492 0.5000
V 0.8508 0.3508 0.5000
P 0.1406 0.3594 0.0000
P 0.8594 0.6406 0.0000
P 0.3594 0.8594 0.0000
P 0.6406 0.1406 0.0000
Mg 0.0000 0.0000 0.0000
Mg 0.5000 0.5000 0.0000
```

---

Material: AlRe2MoPt
Method: DFT, PBE
State: optimized geometry Values from VASP.

As for the space group: P4/mmm (123). The value obtained for the formation energy is 1865 meV/atom.

Cell and atoms, written as Quantum ESPRESSO input:
```
&SYSTEM
  ibrav = 0, nat = 5, ntyp = 4
/
ATOMIC_SPECIES
Re 186.21 Re.upf
Pt 195.08 Pt.upf
Al 26.98 Al.upf
Mo 95.94 Mo.upf
CELL_PARAMETERS angstrom
4.6927 0.0000 0.0000
0.0000 4.8263 0.0000
0.0000 0.0000 4.6927
ATOMIC_POSITIONS crystal
Re 0.0000 0.0000 0.5000
Re 0.5000 0.0000 0.0000
Pt 0.0000 0.5000 0.0000
Al 0.5000 0.5000 0.5000
Mo 0.0000 0.0000 0.0000
```

---

Material: ThAsPdS
Method: DFT, PBE
State: optimized geometry Values from VASP.

As for the space group: P4/nmm (129). The formation energy without anion corrections comes out at -1.22 eV per atom.

Cell and atoms, written as Quantum ESPRESSO input:
```
&SYSTEM
  ibrav = 0, nat = 8, ntyp = 4
/
ATOMIC_SPECIES
Pd 106.42 Pd.upf
As 74.92 As.upf
Th 232.04 Th.upf
S 32.06 S.upf
CELL_PARAMETERS angstrom
-3.2314 1.2983 2.8553
0.8971 -3.5456 2.6275
5.5262 4.5125 4.2024
ATOMIC_POSITIONS crystal
Pd 0.0000 0.0000 0.0000
Pd 0.5000 0.5000 0.0000
As 0.0000 0.5000 0.8468
As 0.5000 0.0000 0.1532
Th 0.0000 0.5000 0.2947
Th 0.5000 0.0000 0.7053
S 0.0000 0.0000 0.5000
S 0.5000 0.5000 0.5000
```

---

Material: Co4Cu5
Method: DFT, PBE
State: optimized geometry Values from VASP.

As for the space group: I4/mmm (139). The value obtained for the formation energy is 130 meV/atom. For the energy above the most stable polymorph in this dataset, the calculation gives 0.0 meV/atom.

Cell and atoms, written as Quantum ESPRESSO input:
```
&SYSTEM
  ibrav = 0, nat = 9, ntyp = 2
/
ATOMIC_SPECIES
Cu 63.55 Cu.upf
Co 58.93 Co.upf
CELL_PARAMETERS angstrom
-3.8301 3.8301 1.7700
3.8301 -3.8301 1.7700
3.8301 3.8301 -1.7700
ATOMIC_POSITIONS crystal
Cu 0.3323 0.3323 0.6647
Cu 0.0000 0.0000 0.0000
Cu 0.3323 0.6677 0.0000
Cu 0.6677 0.3323 0.0000
Cu 0.6677 0.6677 0.3353
Co 0.6564 0.0000 0.6564
Co 0.0000 0.6564 0.6564
Co 0.0000 0.3436 0.3436
Co 0.3436 0.0000 0.3436
```

---

Material: Mg2FeRe
Method: DFT, PBE
State: optimized geometry Values from VASP.

As for the space group: Pm (6). The value obtained for the formation energy is 279 meV/atom. For the energy above the most stable polymorph in this dataset, the calculation gives 153.9 meV/atom.

Cell and atoms, written as Quantum ESPRESSO input:
```
&SYSTEM
  ibrav = 0, nat = 4, ntyp = 3
/
ATOMIC_SPECIES
Fe 55.84 Fe.upf
Mg 24.30 Mg.upf
Re 186.21 Re.upf
CELL_PARAMETERS angstrom
4.3266 0.0000 0.0000
0.0000 2.7193 -0.0252
0.0000 1.1016 5.3217
ATOMIC_POSITIONS crystal
Fe 0.5000 0.7149 0.7218
Mg 0.0000 0.9641 0.9900
Mg 0.5000 0.2574 0.2641
Re 0.0000 0.5636 0.5241
```

---

Material: Cs5Sr3Hg12
Method: DFT, PBE
State: optimized geometry Values from VASP.

As for the space group: Ia-3d (230). The value obtained for the formation energy is -213 meV/atom.

Cell and atoms, written as Quantum ESPRESSO input:
```
&SYSTEM
  ibrav = 0, nat = 80, ntyp = 3
/
ATOMIC_SPECIES
Hg 200.59 Hg.upf
Sr 87.62 Sr.upf
Cs 132.91 Cs.upf
CELL_PARAMETERS angstrom
-16.1476 -2.0404 -7.1926
0.4567 -7.9613 15.9075
3.4789 17.3423 1.9445
ATOMIC_POSITIONS crystal
Hg 0.8996 0.5675 0.1350
Hg 0.5676 0.7354 0.6350
Hg 0.7646 0.3650 0.9324
Hg 0.5676 0.8322 0.4325
Hg 0.4324 0.1678 0.5675
Hg 0.3996 0.7646 0.8322
Hg 0.6678 0.5675 0.9324
Hg 0.9324 0.8650 0.7646
Hg 0.3322 0.4325 0.0676
Hg 0.7646 0.3996 0.3322
Hg 0.6350 0.2354 0.5676
Hg 0.2646 0.4324 0.8650
Hg 0.1350 0.0676 0.7354
Hg 0.1004 0.6678 0.7354
Hg 0.3996 0.6350 0.0675
Hg 0.6678 0.1004 0.2354
Hg 0.2646 0.8322 0.8996
Hg 0.4325 0.1004 0.3650
Hg 0.3322 0.8996 0.7646
Hg 0.4325 0.3322 0.5676
Hg 0.1350 0.0675 0.8996
Hg 0.9325 0.8650 0.6004
Hg 0.1004 0.4325 0.8650
Hg 0.8996 0.3322 0.2646
Hg 0.8650 0.9324 0.2646
Hg 0.8650 0.9325 0.1004
Hg 0.8322 0.2646 0.3996
Hg 0.2354 0.6004 0.6678
Hg 0.1678 0.4324 0.0675
Hg 0.0675 0.9324 0.1678
Hg 0.5675 0.8996 0.6350
Hg 0.8322 0.5676 0.9325
Hg 0.0675 0.1350 0.3996
Hg 0.5675 0.6678 0.4324
Hg 0.0676 0.1350 0.2354
Hg 0.3650 0.7646 0.4324
Hg 0.3650 0.6004 0.4325
Hg 0.7354 0.5676 0.1350
Hg 0.9324 0.0675 0.6678
Hg 0.0676 0.9325 0.3322
Hg 0.7354 0.1678 0.1004
Hg 0.6350 0.3996 0.5675
Hg 0.2354 0.6350 0.0676
Hg 0.4324 0.2646 0.3650
Hg 0.6004 0.3650 0.9325
Hg 0.1678 0.7354 0.6004
Hg 0.9325 0.0676 0.8322
Hg 0.6004 0.2354 0.1678
Sr 0.6250 0.2500 0.3750
Sr 0.1250 0.2500 0.8750
Sr 0.2500 0.6250 0.8750
Sr 0.2500 0.1250 0.3750
Sr 0.1250 0.8750 0.7500
Sr 0.6250 0.3750 0.7500
Sr 0.7500 0.3750 0.1250
Sr 0.3750 0.7500 0.6250
Sr 0.3750 0.6250 0.2500
Sr 0.7500 0.8750 0.6250
Sr 0.8750 0.7500 0.1250
Sr 0.8750 0.1250 0.2500
Cs 0.0000 0.5000 0.5000
Cs 0.7500 0.6250 0.3750
Cs 0.6250 0.7500 0.8750
Cs 0.2500 0.3750 0.6250
Cs 0.3750 0.2500 0.1250
Cs 0.8750 0.2500 0.6250
Cs 0.2500 0.8750 0.1250
Cs 0.1250 0.7500 0.3750
Cs 0.7500 0.1250 0.8750
Cs 0.5000 0.0000 0.5000
Cs 0.3750 0.1250 0.7500
Cs 0.5000 0.5000 0.0000
Cs 0.0000 0.0000 0.0000
Cs 0.0000 0.5000 0.0000
Cs 0.5000 0.5000 0.5000
Cs 0.8750 0.6250 0.7500
Cs 0.0000 0.0000 0.5000
Cs 0.5000 0.0000 0.0000
Cs 0.1250 0.3750 0.2500
Cs 0.6250 0.8750 0.2500
```

---

Material: MgAlNi2
Method: DFT, PBE
State: optimized geometry Values from VASP.

As for the space group: P4mm (99). The value obtained for the formation energy is -204 meV/atom.

Cell and atoms, written as Quantum ESPRESSO input:
```
&SYSTEM
  ibrav = 0, nat = 4, ntyp = 3
/
ATOMIC_SPECIES
Ni 58.69 Ni.upf
Mg 24.30 Mg.upf
Al 26.98 Al.upf
CELL_PARAMETERS angstrom
3.0085 0.0000 0.0000
0.0000 3.0085 0.0000
0.0000 0.0000 6.1173
ATOMIC_POSITIONS crystal
Ni 0.5000 0.5000 0.2527
Ni 0.0000 0.0000 0.0238
Mg 0.5000 0.5000 0.7821
Al 0.0000 0.0000 0.4413
```

---

Material: Ba3Tl12Au5
Method: DFT, PBE
State: optimized geometry Values from VASP.

As for the space group: Ia-3d (230). The value obtained for the formation energy is 1 meV/atom.

Cell and atoms, written as Quantum ESPRESSO input:
```
&SYSTEM
  ibrav = 0, nat = 80, ntyp = 3
/
ATOMIC_SPECIES
Tl 204.38 Tl.upf
Au 196.97 Au.upf
Ba 137.33 Ba.upf
CELL_PARAMETERS angstrom
-6.2622 -9.4848 10.8900
6.6941 -8.6813 -11.2957
10.8800 9.2020 6.6871
ATOMIC_POSITIONS crystal
Tl 0.1956 0.6865 0.1227
Tl 0.5729 0.0091 0.1956
Tl 0.1865 0.0638 0.9909
Tl 0.9909 0.4271 0.3044
Tl 0.1956 0.5091 0.5729
Tl 0.3773 0.3044 0.3135
Tl 0.8044 0.4909 0.4271
Tl 0.5729 0.5638 0.8773
Tl 0.0729 0.6956 0.5091
Tl 0.6227 0.9271 0.4362
Tl 0.9362 0.1227 0.9271
Tl 0.4271 0.4362 0.1227
Tl 0.4362 0.0091 0.3135
Tl 0.9362 0.8135 0.5091
Tl 0.8135 0.9362 0.0091
Tl 0.4271 0.9909 0.8044
Tl 0.3135 0.8044 0.3773
Tl 0.1865 0.1227 0.6956
Tl 0.0638 0.8773 0.0729
Tl 0.0091 0.4362 0.8135
Tl 0.3044 0.3773 0.8135
Tl 0.8044 0.3135 0.8773
Tl 0.4362 0.4271 0.6227
Tl 0.9909 0.5638 0.1865
Tl 0.0729 0.3773 0.0638
Tl 0.0638 0.1865 0.4909
Tl 0.9271 0.3044 0.4909
Tl 0.6865 0.1956 0.6227
Tl 0.9271 0.6227 0.9362
Tl 0.3773 0.0729 0.5638
Tl 0.5091 0.3135 0.9362
Tl 0.8773 0.8135 0.8044
Tl 0.5091 0.1956 0.0729
Tl 0.1227 0.1865 0.1956
Tl 0.6956 0.0729 0.0091
Tl 0.3044 0.9271 0.9909
Tl 0.8773 0.0638 0.5729
Tl 0.5638 0.9909 0.6865
Tl 0.6227 0.6956 0.6865
Tl 0.4909 0.6865 0.0638
Tl 0.1227 0.9362 0.4271
Tl 0.4909 0.8044 0.9271
Tl 0.0091 0.5729 0.6956
Tl 0.8135 0.8773 0.3044
Tl 0.6956 0.6227 0.1865
Tl 0.6865 0.4909 0.5638
Tl 0.5638 0.5729 0.3773
Tl 0.3135 0.5091 0.4362
Au 0.5000 0.0000 0.0000
Au 0.0000 0.5000 0.0000
Au 0.6250 0.7500 0.8750
Au 0.1250 0.3750 0.2500
Au 0.5000 0.5000 0.5000
Au 0.2500 0.3750 0.6250
Au 0.6250 0.8750 0.2500
Au 0.7500 0.1250 0.8750
Au 0.8750 0.2500 0.6250
Au 0.0000 0.0000 0.0000
Au 0.2500 0.8750 0.1250
Au 0.0000 0.5000 0.5000
Au 0.8750 0.6250 0.7500
Au 0.5000 0.5000 0.0000
Au 0.5000 0.0000 0.5000
Au 0.1250 0.7500 0.3750
Au 0.3750 0.2500 0.1250
Au 0.0000 0.0000 0.5000
Au 0.7500 0.6250 0.3750
Au 0.3750 0.1250 0.7500
Ba 0.6250 0.3750 0.7500
Ba 0.2500 0.6250 0.8750
Ba 0.2500 0.1250 0.3750
Ba 0.1250 0.8750 0.7500
Ba 0.8750 0.1250 0.2500
Ba 0.3750 0.6250 0.2500
Ba 0.6250 0.2500 0.3750
Ba 0.7500 0.3750 0.1250
Ba 0.3750 0.7500 0.6250
Ba 0.8750 0.7500 0.1250
Ba 0.1250 0.2500 0.8750
Ba 0.7500 0.8750 0.6250
```

---

Material: Ga2Ag2B
Method: DFT, PBE
State: optimized geometry Values from VASP.

As for the space group: I4/mmm (139). The value obtained for the formation energy is 869 meV/atom. For the energy above the most stable polymorph in this dataset, the calculation gives 295.4 meV/atom.

Cell and atoms, written as Quantum ESPRESSO input:
```
&SYSTEM
  ibrav = 0, nat = 5, ntyp = 3
/
ATOMIC_SPECIES
Ag 107.87 Ag.upf
Ga 69.72 Ga.upf
B 10.81 B.upf
CELL_PARAMETERS angstrom
-0.0694 -0.7980 -3.5114
-2.8130 -2.1804 0.5512
-5.7138 3.7437 -2.5849
ATOMIC_POSITIONS crystal
Ag 0.5963 0.5963 0.8074
Ag 0.4037 0.4037 0.1926
Ga 0.2500 0.7500 0.5000
Ga 0.7500 0.2500 0.5000
B 0.0000 0.0000 0.0000
```

---

Material: LaThCo
Method: DFT, PBE
State: optimized geometry Values from VASP.

As for the space group: I4mm (107). The value obtained for the formation energy is -59 meV/atom. For the energy above the most stable polymorph in this dataset, the calculation gives 79.0 meV/atom.

Cell and atoms, written as Quantum ESPRESSO input:
```
&SYSTEM
  ibrav = 0, nat = 3, ntyp = 3
/
ATOMIC_SPECIES
La 138.91 La.upf
Th 232.04 Th.upf
Co 58.93 Co.upf
CELL_PARAMETERS angstrom
-1.8346 1.2599 -2.7704
1.7771 -2.1827 -2.1694
-4.0918 -3.7169 3.2984
ATOMIC_POSITIONS crystal
La 0.0114 0.0114 0.0229
Th 0.2954 0.2954 0.5908
Co 0.6932 0.6932 0.3864
```

---

Question: What is the formula in the eleventh record?
Answer: Ga2Ag2B